Record 1
Computed, not measured: a relaxed structure of Sr2CuRe at the GGA-PBE level of DFT.

Properties
The energy above the lowest structure with this stoichiometry comes out at 48 meV per atom. The calculation puts the density of states at the Fermi level at 1.628 states/eV per atom.

abc: 3.480 3.480 8.877
angles: 90.00 90.00 90.00
Positions (direct):
Sr: 0.000 0.000 0.000
Sr: 0.500 0.500 0.417
Cu: 0.000 0.000 0.663
Re: 0.500 0.500 0.749


Record 2
Computed, not measured: a relaxed structure of SrCuRe at the GGA-PBE level of DFT.

Properties
The energy above the lowest structure with this stoichiometry comes out at 605 meV per atom. The calculation puts the density of states at the Fermi level at 1.147 states/eV per atom.

abc: 4.658 4.658 4.658
angles: 60.00 60.00 60.00
Positions (direct):
Sr: 0.000 0.000 0.000
Cu: 0.250 0.250 0.250
Re: 0.500 0.500 0.500


Record 3
Computed, not measured: a relaxed structure of Sr2CuRe at the GGA-PBE level of DFT.

Properties
The energy above the lowest structure with this stoichiometry comes out at 442 meV per atom. The calculation puts the density of states at the Fermi level at 1.222 states/eV per atom.

abc: 5.133 5.133 5.133
angles: 60.00 60.00 60.00
Positions (direct):
Sr: 0.000 0.000 0.000
Sr: 0.250 0.250 0.250
Cu: 0.500 0.500 0.500
Re: 0.750 0.750 0.750


Record 4
Computed, not measured: a relaxed structure of SrCuRe2 at the GGA-PBE level of DFT.

Properties
The energy above the lowest structure with this stoichiometry comes out at 651 meV per atom. The calculation puts the density of states at the Fermi level at 1.461 states/eV per atom.

abc: 10.097 10.097 10.097
angles: 16.04 16.04 16.04
Positions (direct):
Sr: 0.000 0.000 0.000
Cu: 0.500 0.500 0.500
Re: 0.238 0.238 0.238
Re: 0.762 0.762 0.762


Record 5
Computed, not measured: a relaxed structure of SrCuRe2 at the GGA-PBE level of DFT.

Properties
The energy above the lowest structure with this stoichiometry comes out at 506 meV per atom. The calculation puts the density of states at the Fermi level at 0.624 states/eV per atom.

abc: 2.774 5.220 5.011
angles: 90.00 95.70 90.00
Positions (direct):
Sr: 0.000 0.000 0.000
Cu: 0.500 0.000 0.500
Re: 0.337 0.500 0.752
Re: 0.663 0.500 0.248


Record 6
Computed, not measured: a relaxed structure of SrCu2Re at the GGA-PBE level of DFT.

Properties
The energy above the lowest structure with this stoichiometry comes out at 390 meV per atom. The calculation puts the density of states at the Fermi level at 0.771 states/eV per atom.

abc: 5.387 5.387 5.387
angles: 137.09 137.09 62.30
Positions (direct):
Sr: 0.000 0.000 0.000
Cu: 0.250 0.750 0.500
Cu: 0.500 0.500 0.000
Re: 0.750 0.250 0.500


Record 7
Computed, not measured: a relaxed structure of SrCuRe at the GGA-PBE level of DFT.

Properties
The energy above the lowest structure with this stoichiometry comes out at 0 meV per atom. The calculation puts the density of states at the Fermi level at 0.825 states/eV per atom.

abc: 6.072 6.072 6.072
angles: 152.44 143.65 46.21
Positions (direct):
Sr: 0.000 0.000 0.000
Cu: 0.290 0.290 0.000
Re: 0.711 0.711 0.000


Record 8
Computed, not measured: a relaxed structure of Sr2CuRe at the GGA-PBE level of DFT.

Properties
The energy above the lowest structure with this stoichiometry comes out at 207 meV per atom. The calculation puts the density of states at the Fermi level at 0.770 states/eV per atom.

abc: 3.074 3.738 8.524
angles: 90.00 90.00 90.00
Positions (direct):
Sr: 0.000 0.000 0.246
Sr: 0.000 0.000 0.754
Cu: 0.500 0.500 0.500
Re: 0.500 0.500 0.000


Record 9
Computed, not measured: a relaxed structure of Sr2CuRe at the GGA-PBE level of DFT.

Properties
The energy above the lowest structure with this stoichiometry comes out at 429 meV per atom. The calculation puts the density of states at the Fermi level at 0.660 states/eV per atom.

abc: 9.802 9.802 9.802
angles: 20.58 20.58 20.58
Positions (direct):
Sr: 0.249 0.249 0.249
Sr: 0.751 0.751 0.751
Cu: 0.000 0.000 0.000
Re: 0.500 0.500 0.500


Record 10
Computed, not measured: a relaxed structure of SrCu2Re at the GGA-PBE level of DFT.

Properties
The energy above the lowest structure with this stoichiometry comes out at 42 meV per atom. The calculation puts the density of states at the Fermi level at 0.990 states/eV per atom.

abc: 2.786 4.384 6.024
angles: 90.00 103.16 90.00
Positions (direct):
Sr: 0.000 0.000 0.000
Cu: 0.633 0.500 0.265
Cu: 0.754 0.000 0.511
Re: 0.314 0.500 0.632


Record 11
Computed, not measured: a relaxed structure of Sr2CuRe at the GGA-PBE level of DFT.

Properties
The energy above the lowest structure with this stoichiometry comes out at 96 meV per atom. The calculation puts the density of states at the Fermi level at 0.888 states/eV per atom.

abc: 6.397 6.397 6.397
angles: 145.93 133.03 59.28
Positions (direct):
Sr: 0.000 0.000 0.000
Sr: 0.714 0.214 0.500
Cu: 0.282 0.782 0.500
Re: 0.422 0.422 0.000


Record 12
Computed, not measured: a relaxed structure of SrCuRe at the GGA-PBE level of DFT.

Properties
The energy above the lowest structure with this stoichiometry comes out at 1316 meV per atom. The calculation puts the density of states at the Fermi level at 0.991 states/eV per atom.

abc: 4.873 4.873 4.873
angles: 60.00 60.00 60.00
Positions (direct):
Sr: 0.000 0.000 0.000
Cu: 0.250 0.250 0.250
Re: 0.750 0.750 0.750